No. 1
Material: TlBi3Pb12
Method: DFT, PBE-GGA
State: optimized geometry

Geometry as POSCAR:
```
TlBi3Pb12
1.0
6.026 0.000 0.000
0.000 6.026 0.000
0.000 0.000 13.993
Tl Bi Pb
1 3 12
direct
0.000 0.000 0.000
0.000 0.000 0.248
0.000 0.000 0.500
0.000 0.000 0.752
0.000 0.500 0.126
0.000 0.500 0.374
0.000 0.500 0.626
0.000 0.500 0.874
0.500 0.000 0.126
0.500 0.000 0.374
0.500 0.000 0.626
0.500 0.000 0.874
0.500 0.500 0.000
0.500 0.500 0.252
0.500 0.500 0.500
0.500 0.500 0.748
```

Calculated values
The size of the total moment is 0.00 μB per formula unit. Its space group is P4/mmm. The calculation puts the formation energy at 0.0178 eV per atom. As for the calculated volume: 508.1 Å³/cell.

=====

No. 2
Material: Tl12BiPb6
Method: DFT, PBE-GGA
State: optimized geometry

Geometry as POSCAR:
```
Tl12BiPb6
1.0
6.056 3.496 4.907
-6.056 3.496 4.907
0.000 -6.993 4.907
Tl Bi Pb
12 1 6
direct
0.021 0.303 0.931
0.069 0.979 0.697
0.128 0.347 0.459
0.303 0.931 0.021
0.347 0.459 0.128
0.459 0.128 0.347
0.541 0.872 0.653
0.653 0.541 0.872
0.697 0.069 0.979
0.872 0.653 0.541
0.931 0.021 0.303
0.979 0.697 0.069
0.500 0.500 0.500
0.232 0.762 0.389
0.238 0.611 0.768
0.389 0.232 0.762
0.611 0.768 0.238
0.762 0.389 0.232
0.768 0.238 0.611
```

Calculated values
The size of the total moment is 0.00 μB per formula unit. Its space group is R-3. The calculation puts the formation energy at 0.0298 eV per atom. As for the calculated volume: 623.5 Å³/cell.

=====

No. 3
Material: Tl3BiPb6
Method: DFT, PBE-GGA
State: optimized geometry

Geometry as POSCAR:
```
Tl3BiPb6
1.0
6.807 3.930 2.203
-6.807 3.930 2.203
0.000 -7.860 2.203
Tl Bi Pb
3 1 6
direct
0.023 0.488 0.488
0.488 0.023 0.488
0.488 0.488 0.023
0.443 0.443 0.443
0.051 0.051 0.390
0.051 0.390 0.051
0.390 0.051 0.051
0.662 0.919 0.919
0.919 0.662 0.919
0.919 0.919 0.662
```

Calculated values
The size of the total moment is 0.00 μB per formula unit. Its offset from the most stable computed form is 0.015 eV/atom. Its space group is R3m. The calculation puts the formation energy at 0.0857 eV per atom. As for the calculated volume: 353.6 Å³/cell.

=====

No. 4
Material: Tl3BiPb2
Method: DFT, PBE-GGA
State: optimized geometry

Geometry as POSCAR:
```
Tl3BiPb2
1.0
8.968 -1.723 0.000
8.968 1.723 0.000
-6.626 0.000 12.455
Tl Bi Pb
6 2 4
direct
0.036 0.036 0.219
0.262 0.262 0.705
0.398 0.398 0.967
0.602 0.602 0.033
0.738 0.738 0.295
0.964 0.964 0.781
0.433 0.433 0.359
0.567 0.567 0.641
0.180 0.180 0.880
0.354 0.354 0.534
0.646 0.646 0.466
0.820 0.820 0.120
```

Calculated values
The size of the total moment is 0.00 μB per formula unit. Its offset from the most stable computed form is 0.020 eV/atom. Its space group is C2/m. The calculation puts the formation energy at 0.0129 eV per atom. As for the calculated volume: 384.8 Å³/cell.

=====

No. 5
Material: Tl2Bi5Pb12
Method: DFT, PBE-GGA
State: optimized geometry

Geometry as POSCAR:
```
Tl2Bi5Pb12
1.0
9.219 -3.502 0.000
9.219 3.502 0.000
-0.585 0.000 10.700
Tl Bi Pb
2 5 12
direct
0.226 0.774 0.000
0.774 0.226 0.000
0.160 0.160 0.099
0.223 0.223 0.591
0.500 0.500 0.500
0.777 0.777 0.409
0.840 0.840 0.901
0.043 0.043 0.640
0.058 0.557 0.159
0.117 0.633 0.636
0.367 0.883 0.364
0.443 0.942 0.841
0.455 0.455 0.220
0.545 0.545 0.780
0.557 0.058 0.159
0.633 0.117 0.636
0.883 0.367 0.364
0.942 0.443 0.841
0.957 0.957 0.360
```

Calculated values
The size of the total moment is 0.00 μB per formula unit. Its offset from the most stable computed form is 0.041 eV/atom. Its space group is C2/m. The calculation puts the formation energy at 0.0924 eV per atom. As for the calculated volume: 691.0 Å³/cell.

=====

No. 6
Material: Tl2BiPb9
Method: DFT, PBE-GGA
State: optimized geometry

Geometry as POSCAR:
```
Tl2BiPb9
1.0
5.156 0.000 0.000
0.000 5.156 0.000
0.000 0.000 14.303
Tl Bi Pb
2 1 9
direct
0.000 0.000 0.166
0.000 0.000 0.834
0.000 0.000 0.500
0.000 0.500 0.000
0.000 0.500 0.335
0.000 0.500 0.665
0.500 0.000 0.000
0.500 0.000 0.335
0.500 0.000 0.665
0.500 0.500 0.170
0.500 0.500 0.500
0.500 0.500 0.830
```

Calculated values
The size of the total moment is 0.00 μB per formula unit. Its space group is P4/mmm. The calculation puts the formation energy at 0.0214 eV per atom. As for the calculated volume: 380.3 Å³/cell.

=====

No. 7
Material: Tl2Bi2Pb
Method: DFT, PBE-GGA
State: optimized geometry

Geometry as POSCAR:
```
Tl2Bi2Pb
1.0
-2.313 2.313 8.033
2.313 -2.313 8.033
2.313 2.313 -8.033
Tl Bi Pb
2 2 1
direct
0.250 0.750 0.500
0.750 0.250 0.500
0.095 0.095 0.000
0.905 0.905 0.000
0.500 0.500 0.000
```

Calculated values
The size of the total moment is 0.00 μB per formula unit. Its offset from the most stable computed form is 0.096 eV/atom. Its space group is I4/mmm. The calculation puts the formation energy at 0.0967 eV per atom. As for the calculated volume: 171.9 Å³/cell.

=====

No. 8
Material: TlBiPb4
Method: DFT, PBE-GGA
State: optimized geometry

Geometry as POSCAR:
```
TlBiPb4
1.0
0.000 4.638 4.638
4.638 0.000 4.638
4.638 4.638 0.000
Tl Bi Pb
1 1 4
direct
0.000 0.000 0.000
0.250 0.250 0.250
0.124 0.625 0.625
0.625 0.124 0.625
0.625 0.625 0.124
0.625 0.625 0.625
```

Calculated values
The size of the total moment is 0.00 μB per formula unit. Its offset from the most stable computed form is 0.118 eV/atom. Its space group is F-43m. The calculation puts the formation energy at 0.1333 eV per atom. As for the calculated volume: 199.6 Å³/cell.

=====

No. 9
Material: Tl6BiPb8
Method: DFT, PBE-GGA
State: optimized geometry

Geometry as POSCAR:
```
Tl6BiPb8
1.0
4.668 2.695 6.576
-4.668 2.695 6.576
0.000 -5.390 6.576
Tl Bi Pb
6 1 8
direct
0.155 0.155 0.542
0.155 0.542 0.155
0.458 0.845 0.845
0.542 0.155 0.155
0.845 0.458 0.845
0.845 0.845 0.458
0.000 0.000 0.000
0.125 0.723 0.723
0.277 0.277 0.875
0.277 0.875 0.277
0.419 0.419 0.419
0.581 0.581 0.581
0.723 0.125 0.723
0.723 0.723 0.125
0.875 0.277 0.277
```

Calculated values
The size of the total moment is 0.00 μB per formula unit. Its space group is R-3m. The calculation puts the formation energy at 0.0323 eV per atom. As for the calculated volume: 496.4 Å³/cell.

=====

No. 10
Material: Tl5Bi2Pb2
Method: DFT, PBE-GGA
State: optimized geometry

Geometry as POSCAR:
```
Tl5Bi2Pb2
1.0
2.607 -5.247 0.000
2.607 5.247 0.000
-0.012 0.000 10.744
Tl Bi Pb
5 2 2
direct
0.000 0.000 0.000
0.357 0.642 0.312
0.358 0.643 0.688
0.665 0.335 0.169
0.665 0.335 0.831
0.317 0.683 0.000
0.722 0.278 0.500
0.042 0.955 0.354
0.045 0.958 0.646
```

Calculated values
The size of the total moment is 0.00 μB per formula unit. Its offset from the most stable computed form is 0.014 eV/atom. Its space group is C2. The calculation puts the formation energy at 0.0339 eV per atom. As for the calculated volume: 294.0 Å³/cell.

=====

No. 11
Material: Tl2Bi2Pb
Method: DFT, PBE-GGA
State: optimized geometry

Geometry as POSCAR:
```
Tl2Bi2Pb
1.0
5.617 0.000 0.000
-2.343 5.848 0.000
-0.511 -2.263 9.923
Tl Bi Pb
4 4 2
direct
0.051 0.100 0.346
0.164 0.311 0.035
0.836 0.689 0.965
0.949 0.900 0.654
0.349 0.715 0.432
0.449 0.922 0.142
0.551 0.078 0.858
0.651 0.285 0.568
0.270 0.516 0.713
0.730 0.484 0.287
```

Calculated values
The size of the total moment is 0.00 μB per formula unit. Its offset from the most stable computed form is 0.003 eV/atom. Its space group is P-1. The calculation puts the formation energy at 0.0034 eV per atom. As for the calculated volume: 326.0 Å³/cell.

=====

No. 12
Material: Tl2Bi2Pb3
Method: DFT, PBE-GGA
State: optimized geometry

Geometry as POSCAR:
```
Tl2Bi2Pb3
1.0
1.769 -13.831 0.000
1.769 13.831 0.000
0.000 0.000 4.862
Tl Bi Pb
2 2 3
direct
0.196 0.804 0.000
0.804 0.196 0.000
0.368 0.632 0.500
0.632 0.368 0.500
0.068 0.932 0.000
0.500 0.500 0.500
0.932 0.068 0.000
```

Calculated values
The size of the total moment is 0.00 μB per formula unit. Its offset from the most stable computed form is 0.018 eV/atom. Its space group is Cmmm. The calculation puts the formation energy at 0.0222 eV per atom. As for the calculated volume: 238.0 Å³/cell.

=====

No. 13
Material: TlBi4Pb5
Method: DFT, PBE-GGA
State: optimized geometry

Geometry as POSCAR:
```
TlBi4Pb5
1.0
3.637 0.000 0.000
0.000 3.637 0.000
0.000 0.000 24.108
Tl Bi Pb
1 4 5
direct
0.000 0.000 0.000
0.000 0.000 0.199
0.000 0.000 0.399
0.000 0.000 0.601
0.000 0.000 0.801
0.500 0.500 0.102
0.500 0.500 0.300
0.500 0.500 0.500
0.500 0.500 0.700
0.500 0.500 0.898
```

Calculated values
The size of the total moment is 0.00 μB per formula unit. Its offset from the most stable computed form is 0.000 eV/atom. Its space group is P4/mmm. The calculation puts the formation energy at 0.0378 eV per atom. As for the calculated volume: 318.9 Å³/cell.

=====

No. 14
Material: Tl5Bi2Pb2
Method: DFT, PBE-GGA
State: optimized geometry

Geometry as POSCAR:
```
Tl5Bi2Pb2
1.0
-10.484 4.505 3.141
10.484 -4.505 3.141
10.484 4.505 -3.141
Tl Bi Pb
10 4 4
direct
0.159 0.806 0.852
0.184 0.103 0.287
0.184 0.397 0.580
0.508 0.724 0.112
0.508 0.897 0.285
0.612 0.224 0.715
0.612 0.397 0.888
0.816 0.603 0.420
0.816 0.897 0.713
0.954 0.306 0.148
0.060 0.053 0.508
0.545 0.553 0.492
0.619 0.119 0.500
0.619 0.619 0.000
0.003 0.202 0.909
0.003 0.593 0.301
0.293 0.093 0.091
0.293 0.702 0.699
```

Calculated values
The size of the total moment is 0.00 μB per formula unit. Its offset from the most stable computed form is 0.000 eV/atom. Its space group is Ima2. The calculation puts the formation energy at 0.0201 eV per atom. As for the calculated volume: 593.4 Å³/cell.

=====

No. 15
Material: TlBi3Pb5
Method: DFT, PBE-GGA
State: optimized geometry

Geometry as POSCAR:
```
TlBi3Pb5
1.0
9.928 0.000 0.000
-4.964 8.598 0.000
0.000 0.000 6.807
Tl Bi Pb
2 6 10
direct
0.000 0.000 0.000
0.000 0.000 0.500
0.000 0.342 0.250
0.000 0.658 0.750
0.342 0.000 0.250
0.342 0.342 0.750
0.658 0.000 0.750
0.658 0.658 0.250
0.000 0.331 0.750
0.000 0.669 0.250
0.331 0.000 0.750
0.331 0.331 0.250
0.333 0.667 0.000
0.333 0.667 0.500
0.667 0.333 0.000
0.667 0.333 0.500
0.669 0.000 0.250
0.669 0.669 0.750
```

Calculated values
The size of the total moment is 0.00 μB per formula unit. Its space group is P6_3/mcm. The calculation puts the formation energy at -0.0051 eV per atom. As for the calculated volume: 581.0 Å³/cell.

=====

No. 16
Material: TlBi6Pb5
Method: DFT, PBE-GGA
State: optimized geometry

Geometry as POSCAR:
```
TlBi6Pb5
1.0
5.617 -7.657 0.000
5.617 7.657 0.000
-2.161 0.000 4.465
Tl Bi Pb
1 6 5
direct
0.000 0.000 0.000
0.086 0.419 0.252
0.255 0.255 0.755
0.419 0.086 0.252
0.581 0.914 0.748
0.745 0.745 0.245
0.914 0.581 0.748
0.167 0.833 0.500
0.331 0.669 0.000
0.500 0.500 0.500
0.669 0.331 0.000
0.833 0.167 0.500
```

Calculated values
The size of the total moment is 0.00 μB per formula unit. Its space group is C2/m. The calculation puts the formation energy at 0.0337 eV per atom. As for the calculated volume: 384.1 Å³/cell.

=====

No. 17
Material: Tl2Bi2Pb
Method: DFT, PBE-GGA
State: optimized geometry

Geometry as POSCAR:
```
Tl2Bi2Pb
1.0
6.314 -2.795 0.000
6.314 2.795 0.000
-4.384 0.000 9.808
Tl Bi Pb
4 4 2
direct
0.013 0.013 0.331
0.163 0.163 0.067
0.837 0.837 0.933
0.987 0.987 0.669
0.363 0.363 0.400
0.452 0.452 0.113
0.548 0.548 0.887
0.637 0.637 0.600
0.286 0.286 0.651
0.714 0.714 0.349
```

Calculated values
The size of the total moment is 0.00 μB per formula unit. Its offset from the most stable computed form is 0.000 eV/atom. Its space group is C2/m. The calculation puts the formation energy at 0.0009 eV per atom. As for the calculated volume: 346.2 Å³/cell.

=====

No. 18
Material: Tl2Bi2Pb7
Method: DFT, PBE-GGA
State: optimized geometry

Geometry as POSCAR:
```
Tl2Bi2Pb7
1.0
3.350 -6.031 0.000
3.350 6.031 0.000
-2.524 0.000 8.988
Tl Bi Pb
2 2 7
direct
0.109 0.109 0.199
0.891 0.891 0.801
0.287 0.713 0.500
0.713 0.287 0.500
0.062 0.519 0.831
0.245 0.245 0.595
0.481 0.938 0.169
0.500 0.500 0.000
0.519 0.062 0.831
0.755 0.755 0.405
0.938 0.481 0.169
```

Calculated values
The size of the total moment is 0.00 μB per formula unit. Its offset from the most stable computed form is 0.023 eV/atom. Its space group is C2/m. The calculation puts the formation energy at 0.0666 eV per atom. As for the calculated volume: 363.2 Å³/cell.

=====

No. 19
Material: TlBiPb14
Method: DFT, PBE-GGA
State: optimized geometry

Geometry as POSCAR:
```
TlBiPb14
1.0
7.140 0.000 0.000
0.000 7.140 0.000
0.000 0.000 9.923
Tl Bi Pb
1 1 14
direct
0.000 0.000 0.000
0.500 0.500 0.000
0.000 0.000 0.500
0.000 0.500 0.000
0.000 0.500 0.500
0.251 0.251 0.251
0.251 0.251 0.749
0.251 0.749 0.251
0.251 0.749 0.749
0.500 0.000 0.000
0.500 0.000 0.500
0.500 0.500 0.500
0.749 0.251 0.251
0.749 0.251 0.749
0.749 0.749 0.251
0.749 0.749 0.749
```

Calculated values
The size of the total moment is 0.00 μB per formula unit. Its space group is P4/mmm. The calculation puts the formation energy at -0.0010 eV per atom. As for the calculated volume: 505.9 Å³/cell.

=====

No. 20
Material: TlBiPb
Method: DFT, PBE-GGA
State: optimized geometry

Geometry as POSCAR:
```
TlBiPb
1.0
1.756 -9.138 0.000
1.756 9.138 0.000
0.000 0.000 5.969
Tl Bi Pb
2 2 2
direct
0.225 0.775 0.750
0.775 0.225 0.250
0.104 0.896 0.250
0.896 0.104 0.750
0.444 0.556 0.250
0.556 0.444 0.750
```

Calculated values
The size of the total moment is 0.00 μB per formula unit. Its offset from the most stable computed form is 0.040 eV/atom. Its space group is Cmcm. The calculation puts the formation energy at 0.0088 eV per atom. As for the calculated volume: 191.6 Å³/cell.

=====

| no. | DOS at the Fermi energy (states/eV per atom) | theoretical density (g/cm3) | total energy (eV/atom) |
| --- | --- | --- | --- |
| 1 | 0.41 | 10.84 | -3.639 |
| 2 | 0.46 | 10.40 | -2.840 |
| 3 | 0.33 | 9.70 | -3.237 |
| 4 | 0.46 | 10.67 | -3.053 |
| 5 | 0.47 | 9.47 | -3.520 |
| 6 | 0.77 | 10.84 | -3.478 |
| 7 | 0.60 | 9.99 | -3.144 |
| 8 | 0.46 | 10.34 | -3.380 |
| 9 | 0.41 | 10.35 | -3.151 |
| 10 | 0.45 | 10.47 | -2.967 |
| 11 | 0.51 | 10.53 | -3.237 |
| 12 | 0.53 | 10.11 | -3.352 |
| 13 | 0.52 | 10.81 | -3.605 |
| 14 | 0.48 | 10.38 | -2.981 |
| 15 | 0.46 | 10.67 | -3.622 |
| 16 | 0.53 | 10.78 | -3.649 |
| 17 | 0.39 | 9.92 | -3.240 |
| 18 | 0.48 | 10.41 | -3.429 |
| 19 | 0.42 | 10.88 | -3.636 |
| 20 | 0.61 | 10.76 | -3.310 |